# Cd12In6Pb

An optimized crystal structure of Cd12In6Pb (GGA-PBE, Alexandria via LeMat-Bulk).

Properties
Formation energy in kJ/mol of formula units: 56
Energy in eV per atom: -1.61

a = 8.118 Å, b = 8.603 Å, c = 8.603 Å
α = 69.42°, β = 71.67°, γ = 108.33°
Fractional coordinates of all 19 atoms:
Cd 0.522 0.841 0.263
Cd 0.681 0.896 0.841
Cd 0.785 0.263 0.896
Cd 0.478 0.159 0.737
Cd 0.319 0.104 0.159
Cd 0.215 0.737 0.104
Cd 0.270 0.425 0.627
Cd 0.104 0.373 0.052
Cd 0.155 0.052 0.575
Cd 0.730 0.575 0.373
Cd 0.896 0.627 0.948
Cd 0.845 0.948 0.425
In 0.424 0.477 0.209
In 0.052 0.685 0.523
In 0.367 0.791 0.685
In 0.576 0.523 0.791
In 0.948 0.315 0.477
In 0.633 0.209 0.315
Pb 0.000 0.000 0.000